Record 1
First-principles (PBE) data for an optimized crystal structure of FeReSi2, as listed in the Alexandria database.

a = 3.106 Å, b = 3.106 Å, c = 5.256 Å
α = 90.00°, β = 90.00°, γ = 90.00°
Each line ends with the local moment (μB).
Fractional positions:
Fe: 0.000 0.000 0.455  1.57
Re: 0.500 0.500 0.780  0.19
Si: 0.000 0.000 0.997  -0.01
Si: 0.500 0.500 0.268  -0.03

Computed properties:
- crystal system = tetragonal
- energy (eV per atom) = -8.214

=====

Record 2
First-principles (PBE) data for an optimized crystal structure of TaPt4, as listed in the Alexandria database.

a = 3.955 Å, b = 4.905 Å, c = 4.905 Å
α = 99.36°, β = 113.78°, γ = 66.22°
Fractional positions:
Pt: 0.796 0.806 0.399
Pt: 0.204 0.194 0.601
Pt: 0.602 0.601 0.806
Pt: 0.398 0.399 0.194
Ta: 0.000 0.000 0.000

Computed properties:
- distance to the lowest polymorph of the same formula (eV/f.u.) = 0.00
- E_form (eV per atom) = -0.569
- crystal system = tetragonal